## Tl3Ga2Hg2 (PBE)

Data for an optimized crystal structure of Tl3Ga2Hg2.

Cell lengths 11.267, 11.267, 11.267 Å; angles 161.43, 155.39, 31.01 degrees
Fractional positions:
Tl  0.000  0.000  0.000
Tl  0.297  0.797  0.500
Tl  0.703  0.203  0.500
Ga  0.436  0.436  0.000
Ga  0.564  0.564  0.000
Hg  0.137  0.637  0.500
Hg  0.863  0.363  0.500

## Properties
The value obtained for the energy is -1.92 eV/atom. As for the symmetry: Immm, No. 71. As for the crystal system: orthorhombic.

## TlGa2Hg2 (PBE)

Data for an optimized crystal structure of TlGa2Hg2.

Cell lengths 6.633, 6.633, 6.633 Å; angles 138.31, 138.31, 60.42 degrees
Fractional positions:
Tl  0.000  0.000  0.000
Ga  0.387  0.387  0.000
Ga  0.613  0.613  0.000
Hg  0.250  0.750  0.500
Hg  0.750  0.250  0.500

## Properties
The value obtained for the energy is -1.75 eV/atom. As for the symmetry: I4/mmm, No. 139. As for the crystal system: tetragonal.

## Tl2GaHg3 (PBE)

Data for an optimized crystal structure of Tl2GaHg3.

Cell lengths 8.701, 8.701, 6.770 Å; angles 90.00, 90.00, 39.86 degrees
Fractional positions:
Tl  0.158  0.202  0.000
Tl  0.202  0.158  0.500
Tl  0.798  0.842  0.000
Tl  0.842  0.798  0.500
Ga  0.405  0.595  0.001
Ga  0.595  0.405  0.501
Hg  0.003  0.997  0.747
Hg  0.357  0.358  0.250
Hg  0.358  0.357  0.750
Hg  0.642  0.643  0.250
Hg  0.643  0.642  0.750
Hg  0.997  0.003  0.247

## Properties
The value obtained for the energy is -1.42 eV/atom. As for the symmetry: Cmc2_1, No. 36. As for the crystal system: orthorhombic.

## Tl6GaHg10 (PBE)

Data for an optimized crystal structure of Tl6GaHg10.

Cell lengths 9.331, 9.331, 6.491 Å; angles 90.00, 90.00, 120.00 degrees
Fractional positions:
Tl  0.000  0.394  0.264
Tl  0.000  0.606  0.736
Tl  0.394  0.000  0.264
Tl  0.394  0.394  0.736
Tl  0.606  0.000  0.736
Tl  0.606  0.606  0.264
Ga  0.000  0.000  0.500
Hg  0.000  0.242  0.793
Hg  0.000  0.758  0.207
Hg  0.242  0.000  0.793
Hg  0.242  0.242  0.207
Hg  0.333  0.667  0.000
Hg  0.333  0.667  0.500
Hg  0.667  0.333  0.000
Hg  0.667  0.333  0.500
Hg  0.758  0.000  0.207
Hg  0.758  0.758  0.793

## Properties
The value obtained for the energy is -1.17 eV/atom. As for the symmetry: P-31m, No. 162. As for the crystal system: trigonal.

## Tl2GaHg (PBE)

Data for an optimized crystal structure of Tl2GaHg.

Cell lengths 3.782, 3.782, 7.543 Å; angles 90.00, 90.00, 90.00 degrees
Fractional positions:
Tl  0.000  0.000  0.243
Tl  0.000  0.000  0.757
Ga  0.500  0.500  0.000
Hg  0.500  0.500  0.500

## Properties
The value obtained for the energy is -1.95 eV/atom. As for the symmetry: P4/mmm, No. 123. As for the crystal system: tetragonal.

## Tl4GaHg2 (PBE)

Data for an optimized crystal structure of Tl4GaHg2.

Cell lengths 6.537, 6.537, 4.823 Å; angles 90.00, 90.00, 91.06 degrees
Fractional positions:
Tl  0.000  0.500  0.500
Tl  0.184  0.816  0.000
Tl  0.500  0.000  0.500
Tl  0.816  0.184  0.000
Ga  0.500  0.500  0.500
Hg  0.309  0.309  0.000
Hg  0.691  0.691  0.000

## Properties
The value obtained for the energy is -1.81 eV/atom. As for the symmetry: Cmmm, No. 65. As for the crystal system: orthorhombic.

## Tm4Tl2GaHg (PBE)

Data for an optimized crystal structure of Tm4Tl2GaHg.

Cell lengths 8.989, 8.989, 8.989 Å; angles 33.75, 33.75, 33.75 degrees
Fractional positions:
Tm  0.122  0.122  0.122
Tm  0.372  0.372  0.372
Tm  0.628  0.628  0.628
Tm  0.878  0.878  0.878
Tl  0.247  0.247  0.247
Tl  0.753  0.753  0.753
Ga  0.000  0.000  0.000
Hg  0.500  0.500  0.500

## Properties
The value obtained for the energy is -3.63 eV/atom. As for the symmetry: R-3m, No. 166. As for the crystal system: trigonal.

## TmTlGaHg (PBE)

Data for an optimized crystal structure of TmTlGaHg.

Cell lengths 5.161, 5.161, 5.161 Å; angles 60.00, 60.00, 60.00 degrees
Fractional positions:
Tm  0.000  0.000  0.000
Tl  0.500  0.500  0.500
Ga  0.750  0.750  0.750
Hg  0.250  0.250  0.250

## Properties
The value obtained for the energy is -2.68 eV/atom. As for the symmetry: F-43m, No. 216. As for the crystal system: cubic.

> The lowest energy belongs to which entry?

Tm4Tl2GaHg

> Number 7 is which compound?

Tm4Tl2GaHg

> Among the records above, which one has the lowest energy?

Tm4Tl2GaHg